## CsHfSi3 (GGA-PBEsol)

Data for an optimized crystal structure of CsHfSi3. Values from VASP.

## Properties
formation energy without anion corrections = 0.343 eV per atom
density of states at the Fermi level = 0.382 states/eV per atom
space group = Pm-3m (221)

Cell and atoms, written as Quantum ESPRESSO input:
```
&SYSTEM
  ibrav = 0, nat = 5, ntyp = 3
/
ATOMIC_SPECIES
Cs 132.91 Cs.upf
Hf 178.49 Hf.upf
Si 28.09 Si.upf
ATOMIC_POSITIONS crystal
Cs 0.000 0.000 0.000
Hf 0.500 0.500 0.500
Si 0.000 0.500 0.500
Si 0.500 0.000 0.500
Si 0.500 0.500 0.000
CELL_PARAMETERS angstrom
5.141 0.000 0.000
0.000 5.141 0.000
0.000 0.000 5.141
```